The following is a DFT calculation (PBE-GGA) of Tb2Er3Hg4 after structural relaxation.

## Properties
Its calculated formation energy is -0.334 eV per atom. Its symmetry is Cmce. Its final energy is -54.3 eV/cell. The density of states at the Fermi level is 14.312 states/eV/cell. The calculated volume comes out at 27.4 A^3/atom.

a = 9.5738 Å, b = 9.5738 Å, c = 7.9869 Å
α = 90.00°, β = 90.00°, γ = 137.62°
Fractional positions:
1 Tb 0.0953 0.9047 0.9110
2 Tb 0.4047 0.5953 0.4110
3 Tb 0.5953 0.4047 0.5890
4 Tb 0.9047 0.0953 0.0890
5 Er 0.0000 0.0000 0.5000
6 Er 0.0117 0.4883 0.7500
7 Er 0.4883 0.0117 0.2500
8 Er 0.5000 0.5000 0.0000
9 Er 0.5117 0.9883 0.7500
10 Er 0.9883 0.5117 0.2500
11 Hg 0.1666 0.8334 0.5328
12 Hg 0.1836 0.3164 0.7500
13 Hg 0.3164 0.1836 0.2500
14 Hg 0.3334 0.6666 0.0328
15 Hg 0.6666 0.3334 0.9672
16 Hg 0.6836 0.8164 0.7500
17 Hg 0.8164 0.6836 0.2500
18 Hg 0.8334 0.1666 0.4672

=====

The following is a DFT calculation (PBE-GGA) of Co2Ir4Ru after structural relaxation.

## Properties
Its calculated formation energy is 0.201 eV per atom. Its symmetry is Cmmm. Its final energy is -57.5 eV/cell. The energy above the most stable polymorph in this dataset is 0.000 eV/atom. The density of states at the Fermi level is 8.205 states/eV/cell. The calculated volume comes out at 14.2 A^3/atom.

a = 9.7355 Å, b = 9.7355 Å, c = 3.8215 Å
α = 90.00°, β = 90.00°, γ = 164.05°
Fractional positions:
1 Co 0.2014 0.7986 0.0000
2 Co 0.7986 0.2014 0.0000
3 Ir 0.0700 0.9300 0.0000
4 Ir 0.3577 0.6423 0.5000
5 Ir 0.6423 0.3577 0.5000
6 Ir 0.9300 0.0700 0.0000
7 Ru 0.5000 0.5000 0.5000

=====

The following is a DFT calculation (PBE-GGA) of Dy2ErTh after structural relaxation.

## Properties
Its calculated formation energy is 0.034 eV per atom. Its symmetry is R3m. Its final energy is -21.1 eV/cell. The energy above the most stable polymorph in this dataset is 0.008 eV/atom. The density of states at the Fermi level is 5.195 states/eV/cell. The calculated volume comes out at 31.5 A^3/atom.

a = 11.7047 Å, b = 11.7047 Å, c = 11.7047 Å
α = 17.47°, β = 17.47°, γ = 17.47°
Fractional positions:
1 Dy 0.0000 0.0000 0.0000
2 Dy 0.1684 0.1684 0.1684
3 Er 0.5842 0.5842 0.5842
4 Th 0.7499 0.7499 0.7499

=====

The following is a DFT calculation (PBE-GGA) of Pm4Tm3Th2 after structural relaxation.

## Properties
Its calculated formation energy is 0.075 eV per atom. Its symmetry is P3m1. Its final energy is -46.6 eV/cell. The energy above the most stable polymorph in this dataset is 0.000 eV/atom. The density of states at the Fermi level is 16.508 states/eV/cell. The calculated volume comes out at 32.8 A^3/atom.

a = 3.5673 Å, b = 3.5673 Å, c = 26.8087 Å
α = 90.00°, β = 90.00°, γ = 120.00°
Fractional positions:
1 Pm 0.0000 0.0000 0.0000
2 Pm 0.0000 0.0000 0.2132
3 Pm 0.3333 0.6667 0.3284
4 Pm 0.3333 0.6667 0.5440
5 Tm 0.0000 0.0000 0.4352
6 Tm 0.3333 0.6667 0.1057
7 Tm 0.3333 0.6667 0.7638
8 Th 0.0000 0.0000 0.6556
9 Th 0.0000 0.0000 0.8707

=====

Please write out number 2 again, unchanged.
The following is a DFT calculation (PBE-GGA) of Co2Ir4Ru after structural relaxation.

## Properties
Its calculated formation energy is 0.201 eV per atom. Its symmetry is Cmmm. Its final energy is -57.5 eV/cell. The energy above the most stable polymorph in this dataset is 0.000 eV/atom. The density of states at the Fermi level is 8.205 states/eV/cell. The calculated volume comes out at 14.2 A^3/atom.

a = 9.7355 Å, b = 9.7355 Å, c = 3.8215 Å
α = 90.00°, β = 90.00°, γ = 164.05°
Fractional positions:
1 Co 0.2014 0.7986 0.0000
2 Co 0.7986 0.2014 0.0000
3 Ir 0.0700 0.9300 0.0000
4 Ir 0.3577 0.6423 0.5000
5 Ir 0.6423 0.3577 0.5000
6 Ir 0.9300 0.0700 0.0000
7 Ru 0.5000 0.5000 0.5000